Entry 1:
Pm2NdHoTm2 | Alexandria via LeMat-Bulk | PBE-GGA | relaxed; total moment = 0.0 μB/f.u.; ΔE_f = 67 meV per atom; symmetry = No. 58
1.0
5.644 0.000 0.000
0.000 9.811 0.000
0.000 0.000 7.009
Pm Ho Tm Nd
4 2 4 2
Direct
0.500 0.833 0.252
0.000 0.333 0.248
0.000 0.667 0.752
0.500 0.167 0.748
0.500 0.500 0.000
0.000 0.000 0.500
0.000 0.666 0.250
0.500 0.834 0.750
0.500 0.166 0.250
0.000 0.334 0.750
0.500 0.500 0.500
0.000 0.000 0.000

=====

Entry 2:
NdTlAgI5 | Alexandria via LeMat-Bulk | PBE-GGA | relaxed; total moment = 0.0 μB/f.u.; symmetry = No. 15; formation energy (no corrections) = -0.91 eV/atom
1.0
-7.121 -0.509 4.688
3.466 -7.785 -0.577
7.288 5.527 7.017
I Nd Tl Ag
10 2 2 2
Direct
0.749 0.614 0.449
0.060 0.669 0.877
0.331 0.940 0.623
0.940 0.331 0.123
0.907 0.093 0.750
0.251 0.386 0.551
0.669 0.060 0.377
0.614 0.749 0.949
0.093 0.907 0.250
0.386 0.251 0.051
0.000 0.000 0.000
0.000 0.000 0.500
0.623 0.377 0.750
0.377 0.623 0.250
0.690 0.310 0.250
0.310 0.690 0.750

=====

Entry 3:
HgCSe2Br | Alexandria via LeMat-Bulk | PBE-GGA | relaxed; total moment = 0.0 μB/f.u.; symmetry = No. 123; relative energy among the computed polymorphs = 0 meV/atom; formation energy (no corrections) = 0.93 eV/atom
1.0
4.214 0.000 0.000
0.000 4.214 0.000
0.000 0.000 8.155
Se C Br Hg
2 1 1 1
Direct
0.000 0.500 0.000
0.500 0.000 0.000
0.000 0.000 0.000
0.000 0.000 0.500
0.500 0.500 0.500